Record 1
Material: YCu3H
Method: DFT, PBE-GGA
State: relaxed Values from VASP.

```
&SYSTEM
  ibrav = 0, nat = 5, ntyp = 3
/
ATOMIC_SPECIES
H 1.01 H.upf
Y 88.91 Y.upf
Cu 63.55 Cu.upf
CELL_PARAMETERS angstrom
-0.631 -5.333 0.931
4.411 0.037 3.201
-3.139 1.124 4.312
ATOMIC_POSITIONS crystal
H 0.500 0.500 0.500
Y 0.000 0.000 0.000
Cu 0.000 0.500 0.000
Cu 0.000 0.000 0.500
Cu 0.500 0.000 0.000
```

Summary:
Space group: No. 221
Energy relative to the lowest polymorph listed for this composition (meV/atom): 1386.9
Total energy (eV per atom): -2.845

***

Record 2
Material: TaAs
Method: DFT, PBE-GGA
State: relaxed Values from VASP.

```
&SYSTEM
  ibrav = 0, nat = 4, ntyp = 2
/
ATOMIC_SPECIES
Ta 180.95 Ta.upf
As 74.92 As.upf
CELL_PARAMETERS angstrom
4.621 0.001 0.001
2.309 4.003 0.001
2.309 1.334 3.774
ATOMIC_POSITIONS crystal
Ta 0.875 0.875 0.875
As 0.625 0.625 0.625
As 0.375 0.375 0.375
Ta 0.125 0.125 0.125
```

Summary:
Space group: No. 227
Energy of formation (eV/atom): 0.210
Total energy (eV per atom): -8.041

***

Record 3
Material: PmCdP2Pt7
Method: DFT, PBE-GGA
State: relaxed Values from VASP.

```
&SYSTEM
  ibrav = 0, nat = 11, ntyp = 4
/
ATOMIC_SPECIES
Pt 195.08 Pt.upf
Cd 112.41 Cd.upf
Pm 145.00 Pm.upf
P 30.97 P.upf
CELL_PARAMETERS angstrom
-3.140 2.544 0.128
-0.952 -1.360 3.687
10.700 9.785 4.156
ATOMIC_POSITIONS crystal
Pt 0.076 0.576 0.152
Pt 0.809 0.809 0.618
Cd 0.250 0.750 0.500
Pm 0.500 0.500 0.000
Pt 0.924 0.424 0.848
P 0.118 0.118 0.236
Pt 0.424 0.924 0.848
Pt 0.191 0.191 0.382
Pt 0.576 0.076 0.152
P 0.882 0.882 0.764
Pt 0.000 0.000 0.000
```

Summary:
Space group: No. 119
Energy of formation (eV/atom): -0.339
Total energy (eV per atom): -5.682

***

Record 4
Material: LaTbEuZn
Method: DFT, PBE-GGA
State: relaxed Values from VASP.

```
&SYSTEM
  ibrav = 0, nat = 4, ntyp = 4
/
ATOMIC_SPECIES
La 138.91 La.upf
Eu 151.96 Eu.upf
Zn 65.41 Zn.upf
Tb 158.93 Tb.upf
CELL_PARAMETERS angstrom
5.505 0.000 0.000
2.753 4.767 0.000
2.753 1.589 4.495
ATOMIC_POSITIONS crystal
La 0.250 0.250 0.250
Eu 0.500 0.500 0.500
Zn 0.000 0.000 0.000
Tb 0.750 0.750 0.750
```

Summary:
Space group: No. 216
Energy of formation (eV/atom): 0.051
Total energy (eV per atom): -5.225

***

Record 5
Material: Er2FeSi
Method: DFT, PBE-GGA
State: relaxed Values from VASP.

```
&SYSTEM
  ibrav = 0, nat = 4, ntyp = 3
/
ATOMIC_SPECIES
Er 167.26 Er.upf
Fe 55.84 Fe.upf
Si 28.09 Si.upf
CELL_PARAMETERS angstrom
-1.469 -2.969 -0.102
1.752 -2.738 0.644
-2.085 -1.139 9.352
ATOMIC_POSITIONS crystal
Er 0.908 0.908 0.275
Er 0.092 0.092 0.725
Fe 0.000 0.000 0.000
Si 0.500 0.500 0.500
```

Summary:
Space group: No. 166
Raw formation energy (eV/f.u.): 1.65
Total energy (eV per atom): -5.339

***

Record 6
Material: FeP2Ir
Method: DFT, PBE-GGA
State: relaxed Values from VASP.

```
&SYSTEM
  ibrav = 0, nat = 8, ntyp = 3
/
ATOMIC_SPECIES
Fe 55.84 Fe.upf
P 30.97 P.upf
Ir 192.22 Ir.upf
CELL_PARAMETERS angstrom
5.107 0.000 0.000
0.000 5.107 0.000
2.553 2.553 5.118
ATOMIC_POSITIONS crystal
Fe 0.500 0.500 0.000
P 0.145 0.625 0.250
P 0.605 0.125 0.250
Ir 0.000 0.000 0.000
P 0.375 0.395 0.750
P 0.875 0.855 0.750
Fe 0.250 0.750 0.500
Ir 0.750 0.250 0.500
```

Summary:
Space group: No. 122
Energy of formation (eV/atom): -0.239
Energy relative to the lowest polymorph listed for this composition (meV/atom): 131.8
Total energy (eV per atom): -7.275

***

| no. | DOS at the Fermi energy (states/eV per atom) | total magnetization (μB per cell) |
| --- | --- | --- |
| 1 | 0.3829 | 1.00 |
| 2 | 0.1027 | 0.00 |
| 3 | 0.2040 | 0.00 |
| 4 | 1.1807 | 7.39 |
| 5 | 0.7228 | 1.86 |
| 6 | 0.4721 | 0.00 |